GaFe2SbO6 after structural relaxation, computed with PBE+U.

The electronic total energy is -6.323 eV/atom. The total moment is 8.00 μB per cell.

Cell: 5.242 5.307 5.529 Å, 118.35 90.36 119.49°
Space group P1 (No. 1)
One atom of each set of equivalent atoms:
Ga: 0.000 0.000 0.000
Fe: 0.278 0.554 0.843
Fe: 0.785 0.560 0.356
Sb: 0.493 0.982 0.478
O: 0.109 0.478 0.196
O: 0.218 0.078 0.696
O: 0.366 0.077 0.194
O: 0.620 0.816 0.684
O: 0.701 0.813 0.183
O: 0.866 0.468 0.690